# 1
Entry from Alexandria: a crystal of TaAg7S6 relaxed with PBEsol (meta-GGA SCAN).

Cell: 7.100 7.223 7.253 Å, 115.92 118.30 93.31°
Atoms (fractional coordinates):
Ta 0.000 0.000 0.000
Ag 0.094 0.410 0.972
Ag 0.302 0.733 0.910
Ag 0.452 0.027 0.426
Ag 0.541 0.478 0.706
Ag 0.689 0.249 0.972
Ag 0.778 0.913 0.309
Ag 0.847 0.588 0.472
S 0.061 0.806 0.193
S 0.123 0.362 0.303
S 0.151 0.966 0.770
S 0.505 0.520 0.059
S 0.613 0.855 0.716
S 0.782 0.289 0.546

Distance to the lowest polymorph of the same formula (meV per atom): 26
Formation energy from raw total energies (eV/atom): -0.31

---

# 2
Entry from Alexandria: a crystal of TaAgS2 relaxed with PBEsol (meta-GGA SCAN).

Cell: 8.206 8.206 8.206 Å, 22.77 22.77 22.77°
Atoms (fractional coordinates):
Ta 0.000 0.000 0.000
Ag 0.500 0.500 0.500
S 0.400 0.400 0.400
S 0.600 0.600 0.600

Formation energy from raw total energies (eV/atom): -0.72